[1]
Entry from Alexandria via LeMat-Bulk: SO4 after structural relaxation (GGA-PBE).

Structure (POSCAR):
```
SO4
1.0
2.7229 -5.8101 0.0000
2.7229 5.8101 0.0000
-1.1513 0.0000 4.2906
S O
2 8
Direct
0.0532 0.9468 0.7500
0.9468 0.0532 0.2500
0.0467 0.6979 0.8012
0.1487 0.2242 0.6212
0.2242 0.1487 0.1212
0.3021 0.9533 0.6988
0.6979 0.0467 0.3012
0.7758 0.8513 0.8788
0.8513 0.7758 0.3788
0.9533 0.3021 0.1988
```

* M_tot: 0.009 μB per atom
* final energy: -5.018 eV/atom
* crystal system: monoclinic
* energy relative to the lowest polymorph listed for this composition: 32.7 kJ per mole of atoms
* ΔE_f (raw): -226 meV/atom

---

[2]
Entry from Alexandria via LeMat-Bulk: S2O after structural relaxation (GGA-PBE).

Structure (POSCAR):
```
S2O
1.0
3.0742 0.0000 0.0000
0.0212 4.6994 0.0000
0.0238 0.8636 9.5972
S O
4 2
Direct
0.0000 0.0000 0.0000
0.0079 0.6071 0.5354
0.4991 0.9250 0.1614
0.5072 0.5334 0.6969
0.0060 0.9095 0.4816
0.5005 0.6222 0.2146
```

* M_tot: 0.000 μB per atom
* final energy: -4.718 eV/atom
* crystal system: triclinic
* ΔE_f (raw): -314 meV/atom

---

[3]
Entry from Alexandria via LeMat-Bulk: SO4 after structural relaxation (GGA-PBE).

Structure (POSCAR):
```
SO4
1.0
3.5428 0.0000 0.0000
0.0000 3.5428 0.0000
0.0000 0.0000 3.5428
S O
1 4
Direct
0.0000 0.0000 0.0000
0.0000 0.0000 0.5000
0.0000 0.5000 0.0000
0.5000 0.0000 0.0000
0.5000 0.5000 0.5000
```

* M_tot: 0.552 μB per atom
* final energy: -3.943 eV/atom
* crystal system: cubic
* energy relative to the lowest polymorph listed for this composition: 136.4 kJ per mole of atoms
* ΔE_f (raw): 849 meV/atom

---

[4]
Entry from Alexandria via LeMat-Bulk: SO3 after structural relaxation (GGA-PBE).

Structure (POSCAR):
```
SO3
1.0
6.4820 0.0000 0.0000
0.0000 4.1790 0.0000
-3.3834 0.0000 9.2555
S O
4 12
Direct
0.1709 0.0247 0.2923
0.1709 0.4753 0.7923
0.8291 0.5247 0.2077
0.8291 0.9753 0.7077
0.0041 0.2258 0.6750
0.0041 0.2742 0.1750
0.2696 0.1808 0.4267
0.2696 0.3192 0.9267
0.2828 0.6310 0.7101
0.2828 0.8690 0.2102
0.7172 0.1310 0.7899
0.7172 0.3690 0.2898
0.7304 0.6808 0.0733
0.7304 0.8192 0.5733
0.9959 0.7258 0.8250
0.9959 0.7742 0.3250
```

* M_tot: 0.000 μB per atom
* final energy: -5.799 eV/atom
* crystal system: monoclinic
* ΔE_f (raw): -1049 meV/atom

---

[5]
Entry from Alexandria via LeMat-Bulk: SO5 after structural relaxation (GGA-PBE).

Structure (POSCAR):
```
SO5
1.0
8.4716 0.0000 0.0000
0.0000 6.5398 0.0000
-4.7509 0.0000 8.3717
S O
4 20
Direct
0.1709 0.1790 0.4174
0.1709 0.3210 0.9174
0.8291 0.6790 0.0826
0.8291 0.8210 0.5826
0.0459 0.0208 0.3234
0.0459 0.4792 0.8234
0.1309 0.1942 0.0176
0.1309 0.3058 0.5176
0.3332 0.7196 0.6846
0.3332 0.7804 0.1846
0.3342 0.2098 0.4099
0.3342 0.2902 0.9099
0.3511 0.5932 0.1912
0.3511 0.9068 0.6912
0.6489 0.0932 0.3088
0.6489 0.4068 0.8088
0.6658 0.7098 0.0901
0.6658 0.7902 0.5901
0.6668 0.2196 0.8154
0.6668 0.2804 0.3154
0.8691 0.6942 0.4824
0.8691 0.8058 0.9824
0.9541 0.5208 0.1766
0.9541 0.9792 0.6766
```

* M_tot: 0.333 μB per atom
* final energy: -5.492 eV/atom
* crystal system: monoclinic
* energy relative to the lowest polymorph listed for this composition: 0.0 kJ per mole of atoms
* ΔE_f (raw): -672 meV/atom

---

[6]
Entry from Alexandria via LeMat-Bulk: Sb3SO after structural relaxation (GGA-PBE).

Structure (POSCAR):
```
Sb3SO
1.0
5.1486 0.0000 0.0000
0.0000 5.1486 0.0000
0.0000 0.0000 5.1486
Sb S O
3 1 1
Direct
0.0000 0.0000 0.5000
0.0000 0.5000 0.0000
0.5000 0.0000 0.0000
0.0000 0.0000 0.0000
0.5000 0.5000 0.5000
```

* M_tot: 0.000 μB per atom
* final energy: -3.281 eV/atom
* crystal system: cubic
* ΔE_f (raw): 1010 meV/atom

---

[7]
Entry from Alexandria via LeMat-Bulk: Sb2S6O21 after structural relaxation (GGA-PBE).

Structure (POSCAR):
```
Sb2S6O21
1.0
6.7672 0.0000 0.0000
1.5133 9.6994 0.0000
1.7322 0.3751 13.1338
Sb S O
4 12 42
Direct
0.2417 0.0921 0.2351
0.2443 0.4044 0.7946
0.7557 0.5956 0.2054
0.7583 0.9079 0.7649
0.0807 0.3194 0.4136
0.1026 0.6993 0.9590
0.2847 0.0301 0.7214
0.3300 0.4374 0.2549
0.4341 0.8149 0.3922
0.4515 0.7802 0.0423
0.5485 0.2198 0.9577
0.5659 0.1851 0.6078
0.6700 0.5626 0.7451
0.7153 0.9699 0.2786
0.8974 0.3007 0.0410
0.9193 0.6806 0.5864
0.0083 0.3021 0.9401
0.0578 0.8223 0.8970
0.0592 0.3298 0.5212
0.0756 0.6195 0.6456
0.1075 0.5699 0.9051
0.1098 0.9780 0.6981
0.1667 0.1717 0.3828
0.2067 0.5640 0.2309
0.2561 0.1404 0.7936
0.2846 0.4005 0.3751
0.2908 0.8964 0.3284
0.2922 0.3171 0.2010
0.2973 0.8639 0.1069
0.3457 0.6841 0.9730
0.3669 0.8036 0.4979
0.3777 0.0908 0.6118
0.4109 0.1536 0.0277
0.4401 0.3400 0.8992
0.4435 0.9137 0.7483
0.4488 0.5580 0.7557
0.4735 0.3152 0.6568
0.5265 0.6848 0.3432
0.5512 0.4420 0.2443
0.5565 0.0863 0.2517
0.5599 0.6600 0.1008
0.5891 0.8464 0.9723
0.6223 0.9092 0.3882
0.6331 0.1964 0.5021
0.6543 0.3159 0.0270
0.7027 0.1361 0.8931
0.7078 0.6829 0.7990
0.7092 0.1036 0.6716
0.7154 0.5995 0.6249
0.7439 0.8596 0.2064
0.7933 0.4360 0.7691
0.8333 0.8283 0.6172
0.8902 0.0220 0.3019
0.8925 0.4301 0.0949
0.9244 0.3805 0.3544
0.9408 0.6702 0.4788
0.9422 0.1777 0.1030
0.9917 0.6979 0.0599
```

* M_tot: 0.000 μB per atom
* final energy: -5.934 eV/atom
* crystal system: triclinic
* ΔE_f (raw): -1205 meV/atom

---

[8]
Entry from Alexandria via LeMat-Bulk: SbSO5 after structural relaxation (GGA-PBE).

Structure (POSCAR):
```
SbSO5
1.0
5.2944 0.0000 0.0000
0.0260 5.7721 0.0000
2.5307 2.7509 6.6790
Sb S O
2 2 10
Direct
0.0000 0.0000 0.0000
0.0000 0.0000 0.5000
0.3976 0.6373 0.2377
0.6024 0.3627 0.7623
0.0923 0.9436 0.7591
0.2936 0.7646 0.0688
0.2985 0.3234 0.8560
0.3109 0.7439 0.3939
0.3157 0.3667 0.3184
0.6843 0.6333 0.6816
0.6891 0.2561 0.6061
0.7015 0.6766 0.1440
0.7064 0.2354 0.9312
0.9077 0.0564 0.2409
```

* M_tot: 0.000 μB per atom
* final energy: -5.937 eV/atom
* crystal system: triclinic
* ΔE_f (raw): -1217 meV/atom

---

[9]
Entry from Alexandria via LeMat-Bulk: SbSO3 after structural relaxation (GGA-PBE).

Structure (POSCAR):
```
SbSO3
1.0
3.9792 0.0000 0.0000
0.0000 3.9792 0.0000
0.0000 0.0000 3.9792
Sb S O
1 1 3
Direct
0.0000 0.0000 0.0000
0.5000 0.5000 0.5000
0.0000 0.0000 0.5000
0.0000 0.5000 0.0000
0.5000 0.0000 0.0000
```

* M_tot: 0.577 μB per atom
* final energy: -4.774 eV/atom
* crystal system: cubic
* ΔE_f (raw): -150 meV/atom

---

[10]
Entry from Alexandria via LeMat-Bulk: SbSO3 after structural relaxation (GGA-PBE).

Structure (POSCAR):
```
SbSO3
1.0
3.8799 0.0000 0.0000
0.0000 3.8799 0.0000
0.0000 0.0000 3.8799
Sb S O
1 1 3
Direct
0.0000 0.0000 0.0000
0.5000 0.5000 0.5000
0.0000 0.5000 0.5000
0.5000 0.0000 0.5000
0.5000 0.5000 0.0000
```

* M_tot: 0.000 μB per atom
* final energy: -4.677 eV/atom
* crystal system: cubic
* ΔE_f (raw): -52 meV/atom

---

[11]
Entry from Alexandria via LeMat-Bulk: Sb5S5O2 after structural relaxation (GGA-PBE).

Structure (POSCAR):
```
Sb5S5O2
1.0
7.0781 -1.9189 0.0000
7.0781 1.9189 0.0000
-6.3995 0.0000 9.8934
Sb S O
5 5 2
Direct
0.0000 0.0000 0.0000
0.1025 0.1025 0.4204
0.3466 0.3466 0.1995
0.6534 0.6534 0.8005
0.8975 0.8975 0.5796
0.3519 0.3519 0.9852
0.3593 0.3593 0.6985
0.5000 0.5000 0.5000
0.6407 0.6407 0.3015
0.6481 0.6481 0.0148
0.0646 0.0646 0.7490
0.9354 0.9354 0.2510
```

* M_tot: 0.057 μB per atom
* final energy: -4.656 eV/atom
* crystal system: monoclinic
* ΔE_f (raw): -392 meV/atom

---

[12]
Entry from Alexandria via LeMat-Bulk: Sb2SO4 after structural relaxation (GGA-PBE).

Structure (POSCAR):
```
Sb2SO4
1.0
-1.8287 1.8287 7.3250
1.8287 -1.8287 7.3250
1.8287 1.8287 -7.3250
Sb S O
2 1 4
Direct
0.1585 0.1585 0.0000
0.8415 0.8415 0.0000
0.5000 0.5000 0.0000
0.0000 0.5000 0.5000
0.3003 0.3003 0.0000
0.5000 0.0000 0.5000
0.6997 0.6997 0.0000
```

* M_tot: 0.000 μB per atom
* final energy: -4.961 eV/atom
* crystal system: tetragonal
* ΔE_f (raw): -361 meV/atom

---

- Which formula does entry 2 have?
  S2O